First-principles (GGA+U) data for a relaxed structure of LiFeC2O6, as listed in the Alexandria database.

The magnetization comes out at 5.0 μB per formula unit. The energy is -7.045 eV/atom. As for the crystal system: monoclinic. The calculation puts the volume at 11.90 Å³ per atom. The calculation puts the relative energy among the computed polymorphs at 0.0792 eV per atom.

a = 4.9345 Å, b = 7.8622 Å, c = 6.5270 Å
α = 90.00°, β = 110.02°, γ = 90.00°
With the nearest neighbours (Å) after each atom.
Fractional coordinates of all 20 atoms:
Li 0.1558 0.0000 0.1366  4 O 2.02-2.15
Li 0.8442 0.5000 0.8634  4 O 2.02-2.15
Fe 0.4899 0.9559 0.7354  6 O 2.00-2.11
Fe 0.5101 0.4559 0.2646  6 O 2.00-2.11
C 0.3575 0.6984 0.9015  3 O 1.29-1.31
C 0.3665 0.7162 0.3889  3 O 1.29-1.31
C 0.6335 0.2162 0.6111  3 O 1.29-1.31
C 0.6425 0.1984 0.0985  3 O 1.29-1.31
O 0.2049 0.5835 0.3599  1 C 1.29
O 0.2222 0.8424 0.8888  1 C 1.30
O 0.2670 0.5591 0.9601  1 C 1.29
O 0.2850 0.8652 0.4351  1 C 1.31
O 0.3851 0.1980 0.6379  1 C 1.30
O 0.4121 0.2031 0.1539  1 C 1.31
O 0.5879 0.7031 0.8461  1 C 1.31
O 0.6149 0.6980 0.3621  1 C 1.30
O 0.7150 0.3652 0.5649  1 C 1.31
O 0.7330 0.0591 0.0399  1 C 1.29
O 0.7778 0.3424 0.1112  1 C 1.30
O 0.7951 0.0835 0.6401  1 C 1.29